# 1
{"formula": "Ac2SBr", "functional": "PBE", "state": "relaxed", "total_energy_ev_per_cell": -19.2, "raw_formation_energy_ev_per_atom": -1.2960, "magmom_total_mub_per_cell": 0.00, "space_group": "No. 123", "cell": [[3.811, 0.000, 0.000], [0.000, 3.811, 0.000], [0.000, 0.000, 7.700]], "species": ["Ac", "Ac", "S", "Br"], "frac_coords": [[0.000, 0.000, 0.235], [0.000, 0.000, 0.765], [0.500, 0.500, 0.000], [0.500, 0.500, 0.500]]}

***

# 2
{"formula": "Ac2SBr", "functional": "PBE", "state": "relaxed", "total_energy_ev_per_cell": -20.3, "raw_formation_energy_ev_per_atom": -1.5689, "magmom_total_mub_per_cell": 0.00, "space_group": "No. 166", "cell": [[2.118, 1.223, 7.891], [-2.118, 1.223, 7.891], [0.000, -2.446, 7.891]], "species": ["Ac", "Ac", "S", "Br"], "frac_coords": [[0.238, 0.238, 0.238], [0.762, 0.762, 0.762], [0.500, 0.500, 0.500], [0.000, 0.000, 0.000]]}

***

# 3
{"formula": "Ac8Si3SBr4", "functional": "PBE", "state": "relaxed", "total_energy_ev_per_cell": -79.2, "raw_formation_energy_ev_per_atom": -1.2001, "magmom_total_mub_per_cell": 0.00, "space_group": "No. 166", "cell": [[4.499, 2.598, 7.679], [-4.499, 2.598, 7.679], [0.000, -5.195, 7.679]], "species": ["Ac", "Ac", "Ac", "Ac", "Ac", "Ac", "Ac", "Ac", "Si", "Si", "Si", "S", "Br", "Br", "Br", "Br"], "frac_coords": [[0.238, 0.238, 0.238], [0.238, 0.736, 0.736], [0.264, 0.264, 0.762], [0.264, 0.762, 0.264], [0.736, 0.238, 0.736], [0.736, 0.736, 0.238], [0.762, 0.264, 0.264], [0.762, 0.762, 0.762], [0.000, 0.000, 0.500], [0.000, 0.500, 0.000], [0.500, 0.000, 0.000], [0.500, 0.500, 0.500], [0.000, 0.000, 0.000], [0.000, 0.500, 0.500], [0.500, 0.000, 0.500], [0.500, 0.500, 0.000]]}

***

# 4
{"formula": "Ac6Si2S3Br", "functional": "PBE", "state": "relaxed", "total_energy_ev_per_cell": -66.8, "raw_formation_energy_ev_per_atom": -1.4360, "magmom_total_mub_per_cell": 0.00, "space_group": "No. 12", "cell": [[9.651, -2.227, 0.000], [9.651, 2.227, 0.000], [-1.898, 0.000, 8.716]], "species": ["Ac", "Ac", "Ac", "Ac", "Ac", "Ac", "Si", "Si", "S", "S", "S", "Br"], "frac_coords": [[0.002, 0.002, 0.274], [0.325, 0.325, 0.907], [0.332, 0.332, 0.419], [0.668, 0.668, 0.581], [0.675, 0.675, 0.093], [0.998, 0.998, 0.726], [0.164, 0.164, 0.328], [0.836, 0.836, 0.672], [0.164, 0.164, 0.837], [0.500, 0.500, 0.500], [0.836, 0.836, 0.163], [0.500, 0.500, 0.000]]}

***

# 5
{"formula": "Ac4Sb3Br", "functional": "PBE", "state": "relaxed", "total_energy_ev_per_cell": -40.5, "raw_formation_energy_ev_per_atom": -1.2516, "magmom_total_mub_per_cell": 0.00, "space_group": "No. 12", "cell": [[4.737, -4.732, 0.000], [4.737, 4.732, 0.000], [-4.725, 0.000, 6.714]], "species": ["Ac", "Ac", "Ac", "Ac", "Sb", "Sb", "Sb", "Br"], "frac_coords": [[0.000, 0.500, 0.000], [0.243, 0.243, 0.486], [0.500, 0.000, 0.000], [0.757, 0.757, 0.514], [0.000, 0.000, 0.000], [0.250, 0.750, 0.500], [0.750, 0.250, 0.500], [0.500, 0.500, 0.000]]}

***

# 6
{"formula": "Ac2SbBr", "functional": "PBE", "state": "relaxed", "total_energy_ev_per_cell": -18.4, "raw_formation_energy_ev_per_atom": -1.0920, "magmom_total_mub_per_cell": 0.00, "space_group": "No. 123", "cell": [[4.072, 0.000, 0.000], [0.000, 4.072, 0.000], [0.000, 0.000, 7.930]], "species": ["Ac", "Ac", "Sb", "Br"], "frac_coords": [[0.000, 0.000, 0.236], [0.000, 0.000, 0.764], [0.500, 0.500, 0.000], [0.500, 0.500, 0.500]]}

***

# 7
{"formula": "AcSbBr6", "functional": "PBE", "state": "relaxed", "total_energy_ev_per_cell": -28.4, "raw_formation_energy_ev_per_atom": -1.2627, "magmom_total_mub_per_cell": 0.00, "space_group": "No. 12", "cell": [[3.664, -6.579, 0.000], [3.664, 6.579, 0.000], [-2.056, 0.000, 7.000]], "species": ["Ac", "Sb", "Br", "Br", "Br", "Br", "Br", "Br"], "frac_coords": [[0.000, 0.000, 0.000], [0.500, 0.500, 0.500], [0.121, 0.421, 0.264], [0.252, 0.252, 0.735], [0.421, 0.121, 0.264], [0.579, 0.879, 0.736], [0.748, 0.748, 0.265], [0.879, 0.579, 0.736]]}

***

# 8
{"formula": "Ac2SbBr2", "functional": "PBE", "state": "relaxed", "total_energy_ev_per_cell": -23.6, "raw_formation_energy_ev_per_atom": -1.5889, "magmom_total_mub_per_cell": 0.00, "space_group": "No. 12", "cell": [[4.056, -2.339, 0.000], [4.056, 2.339, 0.000], [-0.009, 0.000, 10.743]], "species": ["Ac", "Ac", "Sb", "Br", "Br"], "frac_coords": [[0.167, 0.167, 0.326], [0.833, 0.833, 0.674], [0.500, 0.500, 0.500], [0.167, 0.167, 0.841], [0.833, 0.833, 0.159]]}